First-principles (PBE) data for an optimized crystal structure of Tb4Pr5Mg2, as listed in Alexandria.

Output
formation enthalpy at 0 K = 0.6 eV per formula unit

Cell: 3.569 8.916 14.108 Å, 125.64 97.27 90.00°
Atoms (fractional coordinates):
Tb: 0.710 0.601 0.420
Tb: 0.927 0.570 0.853
Tb: 0.290 0.399 0.580
Tb: 0.073 0.430 0.147
Pr: 0.867 0.831 0.733
Pr: 0.500 0.000 0.000
Pr: 0.817 0.108 0.635
Pr: 0.133 0.169 0.267
Pr: 0.183 0.892 0.365
Mg: 0.447 0.274 0.894
Mg: 0.553 0.726 0.106


First-principles (PBE) data for an optimized crystal structure of RbTlF2, as listed in Alexandria.

Output
ΔE_f (raw) = -2.094 eV per atom
polymorph energy (0 for the lowest one) = 110.6 meV/atom

Cell: 3.425 3.425 6.948 Å, 90.00 90.00 90.00°
Atoms (fractional coordinates):
F: 0.000 0.000 0.747
F: 0.000 0.000 0.253
Tl: 0.500 0.500 0.000
Rb: 0.500 0.500 0.500


First-principles (PBE) data for an optimized crystal structure of AcAl5Ir2, as listed in Alexandria.

Output
formation enthalpy at 0 K = -6.2 eV per formula unit

Cell: 4.155 6.587 6.587 Å, 67.96 71.62 71.62°
Atoms (fractional coordinates):
Al: 0.000 0.500 0.500
Al: 0.337 0.850 0.475
Al: 0.337 0.475 0.850
Al: 0.663 0.150 0.525
Al: 0.663 0.525 0.150
Ac: 0.000 0.000 0.000
Ir: 0.764 0.736 0.736
Ir: 0.236 0.264 0.264


First-principles (PBE) data for an optimized crystal structure of Tb2DyEr3, as listed in Alexandria.

Output
formation enthalpy at 0 K = 0.7 eV per formula unit
polymorph energy (0 for the lowest one) = 0.0 meV/atom

Cell: 3.471 8.951 12.766 Å, 78.20 82.19 78.82°
Atoms (fractional coordinates):
Er: 0.599 0.828 0.975
Er: 0.739 0.815 0.708
Er: 0.039 0.133 0.788
Er: 0.961 0.867 0.212
Er: 0.401 0.172 0.025
Er: 0.261 0.185 0.292
Dy: 0.562 0.519 0.356
Dy: 0.438 0.481 0.644
Tb: 0.819 0.478 0.883
Tb: 0.343 0.846 0.469
Tb: 0.657 0.154 0.531
Tb: 0.181 0.522 0.117


First-principles (PBE) data for an optimized crystal structure of Li3Y3AlTe8, as listed in Alexandria.

Output
ΔE_f (raw) = -1.050 eV per atom

Cell: 8.568 8.568 8.588 Å, 119.93 90.00 120.00°
Atoms (fractional coordinates):
Y: 0.500 0.500 0.500
Y: 0.500 0.000 0.500
Y: 0.000 0.500 0.500
Te: 0.236 0.007 0.743
Te: 0.247 0.494 0.241
Te: 0.230 0.993 0.257
Te: 0.764 0.993 0.257
Te: 0.753 0.506 0.759
Te: 0.763 0.527 0.257
Te: 0.237 0.473 0.743
Te: 0.770 0.007 0.743
Al: 0.000 0.000 0.500
Li: 0.000 0.500 0.000
Li: 0.500 0.500 0.000
Li: 0.000 0.000 0.000


First-principles (PBE) data for an optimized crystal structure of IrRhBr, as listed in Alexandria.

Output
ΔE_f (raw) = 0.759 eV per atom
polymorph energy (0 for the lowest one) = 49.2 meV/atom

Cell: 7.291 6.968 2.942 Å, 84.33 71.99 23.67°
Atoms (fractional coordinates):
Rh: 0.670 0.670 0.330
Br: 0.001 0.001 0.999
Ir: 0.329 0.329 0.671


no.,E_tot (eV/atom),M_tot (μB per formula unit)
1,-4.092,0.00
2,-3.863,0.00
3,-5.839,0.00
4,-4.473,0.00
5,-4.651,0.00
6,-5.203,0.00